# 1
Density functional theory data (PBE) for GdAlGa4 after structural relaxation.

Cell lengths 7.7834, 7.7834, 7.7834 Å; angles 90.00, 90.00, 90.00 degrees
Last column: nearest neighbours and their distance in Å.
Space group F-43m (No. 216)
One atom of each set of equivalent atoms:
1 Gd 0.0000 0.0000 0.0000  12 Ga 3.23, 4 Al 3.37
2 Al 0.2500 0.2500 0.2500  12 Ga 3.23, 4 Gd 3.37
3 Ga 0.1247 0.1247 0.6247  6 Ga 2.75-2.76

Summary:
Calculated total energy (eV/atom): -5.19
Calculated volume (Å³/cell): 471.5


# 2
Density functional theory data (PBE) for GdAlGa2 after structural relaxation.

Cell lengths 6.8727, 6.8727, 6.8727 Å; angles 90.00, 90.00, 90.00 degrees
Last column: nearest neighbours and their distance in Å.
Space group Fm-3m (No. 225)
One atom of each set of equivalent atoms:
1 Gd 0.0000 0.0000 0.0000  8 Ga 2.98
2 Al 0.0000 0.0000 0.5000  8 Ga 2.98
3 Ga 0.2500 0.2500 0.2500  4 Al 2.98, 4 Gd 2.98

Summary:
Calculated total energy (eV/atom): -6.26
Calculated volume (Å³/cell): 324.6


# 3
Density functional theory data (PBE) for GdAlGa2 after structural relaxation.

Cell lengths 3.4991, 3.4991, 6.6324 Å; angles 90.00, 90.00, 90.00 degrees
Last column: nearest neighbours and their distance in Å.
Space group P4/mmm (No. 123)
One atom of each set of equivalent atoms:
1 Gd 0.0000 0.0000 0.0000  8 Ga 3.16, 2 Al 3.32, 4 Gd 3.50
2 Al 0.0000 0.0000 0.5000  8 Ga 2.82
3 Ga 0.5000 0.5000 0.2974  1 Ga 2.69, 4 Al 2.82

Summary:
Calculated total energy (eV/atom): -6.32
Calculated volume (Å³/cell): 81.2


Number 1: ΔH_f (0 K) -0.20 eV per atom. Number 2: ΔH_f (0 K) -0.30 eV per atom. Number 3: ΔH_f (0 K) -0.35 eV per atom.